No. 1
The following is a GGA-PBE calculation of an optimized crystal structure of ScCoAu2Cl, from Alexandria.

Cell: 5.079 4.019 5.079 Å, 90.00 90.00 90.00°
Site moments in Bohr magnetons follow the coordinates.
Atoms (fractional coordinates):
Au  0.000  0.000  0.500  0.02
Au  0.500  0.000  0.000  0.01
Sc  0.500  0.500  0.500  -0.12
Cl  0.000  0.000  0.000  0.05
Co  0.000  0.500  0.000  1.02

Calculated values
Formation energy without anion corrections in eV per atom: 0.6133
Total DFT energy (no corrections) in eV/f.u.: -18.77
Crystal system: tetragonal
Calculated volume in Å³/atom: 20.74



No. 2
The following is a GGA-PBE calculation of an optimized crystal structure of Cr2InPbC, from Alexandria.

Cell: 4.181 5.234 4.181 Å, 90.00 90.00 90.00°
Site moments in Bohr magnetons follow the coordinates.
Atoms (fractional coordinates):
C  0.000  0.000  0.000  -0.26
Cr  0.000  0.000  0.500  3.33
In  0.500  0.500  0.500  -0.09
Cr  0.500  0.000  0.000  2.80
Pb  0.000  0.500  0.000  -0.04

Calculated values
Energy relative to the elements in eV/f.u.: 3.402
Total DFT energy (no corrections) in eV/f.u.: -31.52
Crystal system: tetragonal
Calculated volume in Å³/atom: 18.30



No. 3
The following is a GGA-PBE calculation of an optimized crystal structure of BeOsW3, from Alexandria.

Cell: 4.193 4.193 4.193 Å, 90.00 90.00 90.00°
Atoms (fractional coordinates):
W  0.500  0.000  0.000
W  0.000  0.000  0.500
Be  0.000  0.000  0.000
Os  0.500  0.500  0.500
W  0.000  0.500  0.000

Calculated values
Energy relative to the elements in eV/f.u.: 3.997
Total DFT energy (no corrections) in eV/f.u.: -49.82
Crystal system: cubic
Polymorph energy (0 for the lowest one) in eV per atom: 0.000
Calculated volume in Å³/atom: 14.75



No. 4
The following is a GGA-PBE calculation of an optimized crystal structure of Ac2NpSb4Ir3, from Alexandria.

Cell: 4.616 4.616 11.794 Å, 90.00 90.00 90.00°
Site moments in Bohr magnetons follow the coordinates.
Atoms (fractional coordinates):
Ac  0.000  0.500  0.769  0.03
Ac  0.500  0.000  0.231  0.03
Sb  0.000  0.500  0.338  -0.03
Np  0.500  0.500  0.500  3.83
Sb  0.000  0.000  0.000  0.00
Sb  0.500  0.000  0.662  -0.03
Ir  0.000  0.000  0.500  -0.31
Ir  0.000  0.500  0.112  -0.01
Ir  0.500  0.000  0.888  -0.01
Sb  0.500  0.500  0.000  0.00

Calculated values
Formation energy without anion corrections in eV per atom: -0.5151
Total DFT energy (no corrections) in eV/f.u.: -69.38
Crystal system: tetragonal
Calculated volume in Å³/atom: 25.13



No. 5
The following is a GGA-PBE calculation of an optimized crystal structure of AcGeSeO2, from Alexandria.

Cell: 5.380 5.627 7.010 Å, 113.66 90.00 90.00°
Atoms (fractional coordinates):
Ac  0.250  0.631  0.262
Ge  0.750  0.056  0.111
Se  0.750  0.756  0.513
Ge  0.250  0.944  0.889
O  0.000  0.221  0.000
Se  0.250  0.244  0.487
O  0.000  0.779  0.000
O  0.500  0.221  0.000
O  0.500  0.779  0.000
Ac  0.750  0.369  0.738

Calculated values
Formation energy without anion corrections in eV per atom: -1.9072
Total DFT energy (no corrections) in eV/f.u.: -31.66
Crystal system: orthorhombic
Calculated volume in Å³/atom: 19.44



No. 6
The following is a GGA-PBE calculation of an optimized crystal structure of MgZrIrRh, from Alexandria.

Cell: 4.545 4.545 4.545 Å, 60.00 60.00 60.00°
Atoms (fractional coordinates):
Zr  0.750  0.750  0.750
Mg  0.250  0.250  0.250
Rh  0.500  0.500  0.500
Ir  0.000  0.000  0.000

Calculated values
Energy relative to the elements in eV/f.u.: -3.112
Total DFT energy (no corrections) in eV/f.u.: -29.47
Crystal system: cubic
Calculated volume in Å³/atom: 16.59



No. 7
The following is a GGA-PBE calculation of an optimized crystal structure of CaMgTa3, from Alexandria.

Cell: 4.908 4.908 4.908 Å, 90.00 90.00 90.00°
Atoms (fractional coordinates):
Mg  0.000  0.000  0.000
Ta  0.500  0.000  0.000
Ta  0.000  0.000  0.500
Ca  0.500  0.500  0.500
Ta  0.000  0.500  0.000

Calculated values
Energy relative to the elements in eV/f.u.: 8.761
Total DFT energy (no corrections) in eV/f.u.: -30.39
Crystal system: cubic
Polymorph energy (0 for the lowest one) in eV per atom: 0.000
Calculated volume in Å³/atom: 23.65



No. 8
The following is a GGA-PBE calculation of an optimized crystal structure of Zr2AlGe, from Alexandria.

Cell: 3.759 3.759 7.233 Å, 74.94 74.94 60.00°
Atoms (fractional coordinates):
Zr  0.745  0.745  0.766
Al  0.500  0.500  0.500
Zr  0.255  0.255  0.234
Ge  0.000  0.000  0.000

Calculated values
Energy relative to the elements in eV/f.u.: -1.642
Total DFT energy (no corrections) in eV/f.u.: -27.10
Crystal system: trigonal
Calculated volume in Å³/atom: 21.11